Compound: LiMoNO2
Source: Alexandria via LeMat-Bulk
Functional: PBE+U
Structure: optimized geometry

The structure belongs to space group P4/mmm (No. 123); the cell edges are 3.563, 3.563 and 3.628 Å and the angles 90.00°, 90.00° and 90.00°. Symmetry generates all atoms from Li at (0.000, 0.000, 0.000), Mo at (0.500, 0.500, 0.500), N at (0.000, 0.000, 0.500) and O at (0.000, 0.500, 0.000).

The calculation puts the total energy at -5.199 eV per atom. The density of states at the Fermi level comes out at 0.98 states/eV/cell.